1.
MgGaN: relaxed, PBE.

Lattice parameters (Å, degrees): 7.652 3.676 5.839 90.00 90.00 90.00
Fractional coordinates of all 12 atoms:
Mg1 0.385 0.750 0.614
Mg2 0.615 0.250 0.386
Mg3 0.115 0.250 0.114
Mg4 0.885 0.750 0.886
N1 0.180 0.750 0.928
N2 0.680 0.750 0.572
N3 0.320 0.250 0.428
N4 0.820 0.250 0.072
Ga1 0.399 0.750 0.100
Ga2 0.101 0.250 0.600
Ga3 0.899 0.750 0.400
Ga4 0.601 0.250 0.900

=====

2.
MgGaN: relaxed, PBE.

Lattice parameters (Å, degrees): 3.111 3.111 9.002 99.95 99.95 90.00
Fractional coordinates of all 6 atoms:
Ga1 0.929 0.929 0.857
Ga2 0.071 0.071 0.143
Mg1 0.307 0.307 0.613
Mg2 0.693 0.693 0.387
N1 0.180 0.180 0.360
N2 0.820 0.820 0.640

=====

Winner for stability: 2

=====

1.
MgGa2N: relaxed, PBE.

Lattice parameters (Å, degrees): 6.861 6.861 5.453 51.02 51.02 90.00
Fractional coordinates of all 8 atoms:
N1 0.500 0.500 0.000
N2 0.250 0.750 0.500
Ga1 0.203 0.625 0.250
Ga2 0.375 0.453 0.750
Ga3 0.547 0.125 0.250
Ga4 0.875 0.797 0.750
Mg1 0.750 0.250 0.500
Mg2 0.000 0.000 0.000

=====

2.
MgGa2N: relaxed, PBE.

Lattice parameters (Å, degrees): 4.533 4.533 4.533 60.00 60.00 60.00
Fractional coordinates of all 4 atoms:
N1 0.000 0.000 0.000
Ga1 0.750 0.750 0.750
Ga2 0.250 0.250 0.250
Mg1 0.500 0.500 0.500

=====

Winner for stability: 1

=====

1.
MgGa3N: relaxed, PBE.

Lattice parameters (Å, degrees): 4.406 4.406 4.406 90.00 90.00 90.00
Fractional coordinates of all 5 atoms:
N1 0.000 0.000 0.000
Ga1 0.500 0.000 0.000
Ga2 0.000 0.000 0.500
Ga3 0.000 0.500 0.000
Mg1 0.500 0.500 0.500

=====

2.
MgGa3N: relaxed, PBE.

Lattice parameters (Å, degrees): 5.143 5.143 5.143 90.00 90.00 90.00
Fractional coordinates of all 5 atoms:
Ga1 0.000 0.000 0.500
Ga2 0.500 0.000 0.000
Ga3 0.000 0.500 0.000
Mg1 0.000 0.000 0.000
N1 0.500 0.500 0.500

=====

Winner for stability: 1

=====

1.
RbMg2GaN: relaxed, PBE.

Lattice parameters (Å, degrees): 5.073 6.951 5.073 90.00 90.00 90.00
Fractional coordinates of all 5 atoms:
Mg1 0.500 0.000 0.000
Mg2 0.000 0.000 0.500
N1 0.500 0.500 0.500
Rb1 0.000 0.500 0.000
Ga1 0.000 0.000 0.000

=====

2.
RbMg2GaN: relaxed, PBE.

Lattice parameters (Å, degrees): 6.997 6.783 6.997 90.00 90.00 90.00
Fractional coordinates of all 5 atoms:
Mg1 0.500 0.000 0.000
Mg2 0.000 0.000 0.500
Rb1 0.000 0.000 0.000
Ga1 0.000 0.500 0.000
N1 0.500 0.500 0.500

=====

Winner for stability: 1

=====

1.
MgGaSN2: relaxed, PBE.

Lattice parameters (Å, degrees): 4.069 4.069 5.248 90.00 90.00 90.00
Fractional coordinates of all 5 atoms:
N1 0.000 0.500 0.000
N2 0.500 0.000 0.000
Ga1 0.500 0.500 0.500
S1 0.000 0.000 0.500
Mg1 0.000 0.000 0.000

=====

2.
MgGaSN2: relaxed, PBE.

Lattice parameters (Å, degrees): 3.795 3.795 5.403 90.00 90.00 90.00
Fractional coordinates of all 5 atoms:
N1 0.000 0.500 0.000
N2 0.500 0.000 0.000
Ga1 0.000 0.000 0.000
S1 0.000 0.000 0.500
Mg1 0.500 0.500 0.500

=====

Winner for stability: 2

=====

1.
MgGaTe2N: relaxed, PBE.

Lattice parameters (Å, degrees): 5.852 5.852 3.511 90.00 90.00 90.00
Fractional coordinates of all 5 atoms:
Ga1 0.000 0.000 0.000
Mg1 0.500 0.500 0.500
Te1 0.500 0.000 0.000
Te2 0.000 0.500 0.000
N1 0.000 0.000 0.500

=====

2.
MgGaTe2N: relaxed, PBE.

Lattice parameters (Å, degrees): 5.792 3.889 5.792 90.00 90.00 90.00
Fractional coordinates of all 5 atoms:
Te1 0.500 0.000 0.000
Te2 0.000 0.000 0.500
N1 0.000 0.500 0.000
Mg1 0.000 0.000 0.000
Ga1 0.500 0.500 0.500

=====

Winner for stability: 1